A PBEsol-optimized structure of MgZn2Se3. Source: Alexandria via LeMat-Bulk, functional SCAN.

The structure in POSCAR format:
```
MgZn2Se3
1.0
3.750 2.165 2.767
-3.750 2.165 2.767
0.000 -4.330 2.767
Mg Zn Se
1 2 3
direct
0.000 0.000 0.000 Mg
0.354 0.354 0.354 Zn
0.646 0.646 0.646 Zn
0.000 0.000 0.500 Se
0.000 0.500 0.000 Se
0.500 0.000 0.000 Se
```

Formation energy from raw total energies (eV per atom): -0.21

---

A PBEsol-optimized structure of MgZnSe. Source: Alexandria via LeMat-Bulk, functional SCAN.

The structure in POSCAR format:
```
MgZnSe
1.0
3.737 0.000 0.000
0.000 3.737 0.000
0.000 0.000 8.515
Mg Zn Se
2 2 2
direct
0.250 0.250 0.151 Mg
0.750 0.750 0.849 Mg
0.250 0.750 0.500 Zn
0.750 0.250 0.500 Zn
0.250 0.250 0.831 Se
0.750 0.750 0.169 Se
```

Formation energy from raw total energies (eV per atom): -0.67

---

A PBEsol-optimized structure of Mg2ZnSe. Source: Alexandria via LeMat-Bulk, functional SCAN.

The structure in POSCAR format:
```
Mg2ZnSe
1.0
3.150 -3.469 0.000
3.150 3.469 0.000
0.000 0.000 3.504
Mg Zn Se
2 1 1
direct
0.000 0.500 0.000 Mg
0.500 0.000 0.000 Mg
0.000 0.000 0.500 Zn
0.500 0.500 0.500 Se
```

Formation energy from raw total energies (eV per atom): -0.30

---

A PBEsol-optimized structure of MgZn2Se. Source: Alexandria via LeMat-Bulk, functional SCAN.

The structure in POSCAR format:
```
MgZn2Se
1.0
3.583 0.000 0.000
0.000 3.583 0.000
0.000 0.000 5.929
Mg Zn Se
1 2 1
direct
0.000 0.000 0.000 Mg
0.000 0.000 0.539 Zn
0.500 0.500 0.645 Zn
0.500 0.500 0.127 Se
```

Formation energy from raw total energies (eV per atom): -0.27

---

A PBEsol-optimized structure of MgZn2Se. Source: Alexandria via LeMat-Bulk, functional SCAN.

The structure in POSCAR format:
```
MgZn2Se
1.0
1.863 1.076 6.479
-1.863 1.076 6.479
0.000 -2.151 6.479
Mg Zn Se
1 2 1
direct
0.000 0.000 0.000 Mg
0.237 0.237 0.237 Zn
0.495 0.495 0.495 Zn
0.749 0.749 0.749 Se
```

Formation energy from raw total energies (eV per atom): -0.23

---

A PBEsol-optimized structure of Mg2Zn2Se. Source: Alexandria via LeMat-Bulk, functional SCAN.

The structure in POSCAR format:
```
Mg2Zn2Se
1.0
0.000 2.521 7.726
2.457 0.000 7.726
2.457 2.521 0.000
Mg Zn Se
2 2 1
direct
0.099 0.099 0.901 Mg
0.901 0.901 0.099 Mg
0.250 0.250 0.250 Zn
0.750 0.750 0.750 Zn
0.500 0.500 0.500 Se
```

Formation energy from raw total energies (eV per atom): -0.31

---

A PBEsol-optimized structure of Mg2Zn2Se. Source: Alexandria via LeMat-Bulk, functional SCAN.

The structure in POSCAR format:
```
Mg2Zn2Se
1.0
3.856 0.000 0.000
-1.928 3.339 0.000
0.000 0.000 7.836
Mg Zn Se
2 2 1
direct
0.333 0.667 0.200 Mg
0.667 0.333 0.800 Mg
0.333 0.667 0.566 Zn
0.667 0.333 0.434 Zn
0.000 0.000 0.000 Se
```

Formation energy from raw total energies (eV per atom): -0.45

---

A PBEsol-optimized structure of Mg4SiSn. Source: Alexandria via LeMat-Bulk, functional SCAN.

The structure in POSCAR format:
```
Mg4SiSn
1.0
2.312 1.335 7.542
-2.312 1.335 7.542
0.000 -2.670 7.542
Mg Si Sn
4 1 1
direct
0.121 0.121 0.121 Mg
0.371 0.371 0.371 Mg
0.629 0.629 0.629 Mg
0.879 0.879 0.879 Mg
0.000 0.000 0.000 Si
0.500 0.500 0.500 Sn
```

Formation energy from raw total energies (eV per atom): -0.20

---

A PBEsol-optimized structure of Mg6SiSn2. Source: Alexandria via LeMat-Bulk, functional SCAN.

The structure in POSCAR format:
```
Mg6SiSn2
1.0
-2.337 3.308 6.993
2.337 -3.308 6.993
2.337 3.308 -6.993
Mg Si Sn
6 1 2
direct
0.083 0.340 0.743 Mg
0.236 0.000 0.236 Mg
0.403 0.660 0.743 Mg
0.597 0.340 0.257 Mg
0.764 0.000 0.764 Mg
0.917 0.660 0.257 Mg
0.000 0.500 0.500 Si
0.334 0.834 0.500 Sn
0.666 0.166 0.500 Sn
```

Formation energy from raw total energies (eV per atom): -0.21

---

A PBEsol-optimized structure of MgSi3Sn. Source: Alexandria via LeMat-Bulk, functional SCAN.

The structure in POSCAR format:
```
MgSi3Sn
1.0
5.096 0.000 0.000
0.000 5.096 0.000
0.000 0.000 5.096
Mg Si Sn
1 3 1
direct
0.000 0.000 0.000 Mg
0.000 0.500 0.500 Si
0.500 0.000 0.500 Si
0.500 0.500 0.000 Si
0.500 0.500 0.500 Sn
```

Formation energy from raw total energies (eV per atom): 1.37

---

A PBEsol-optimized structure of SrMg2Si2. Source: Alexandria via LeMat-Bulk, functional SCAN.

The structure in POSCAR format:
```
SrMg2Si2
1.0
8.267 0.000 0.000
0.000 8.267 0.000
0.000 0.000 3.107
Sr Mg Si
2 4 4
direct
0.000 0.000 0.000 Sr
0.500 0.500 0.000 Sr
0.134 0.366 0.500 Mg
0.366 0.866 0.500 Mg
0.634 0.134 0.500 Mg
0.866 0.634 0.500 Mg
0.159 0.659 0.000 Si
0.341 0.159 0.000 Si
0.659 0.841 0.000 Si
0.841 0.341 0.000 Si
```

Formation energy from raw total energies (eV per atom): 0.00

---

A PBEsol-optimized structure of Sr11Mg2Si10. Source: Alexandria via LeMat-Bulk, functional SCAN.

The structure in POSCAR format:
```
Sr11Mg2Si10
1.0
9.760 -2.349 0.000
9.760 2.349 0.000
-5.554 0.000 13.642
Sr Mg Si
11 2 10
direct
0.000 0.000 0.000 Sr
0.072 0.072 0.441 Sr
0.144 0.144 0.717 Sr
0.294 0.294 0.622 Sr
0.343 0.343 0.896 Sr
0.483 0.483 0.197 Sr
0.517 0.517 0.803 Sr
0.657 0.657 0.104 Sr
0.706 0.706 0.378 Sr
0.856 0.856 0.283 Sr
0.928 0.928 0.559 Sr
0.281 0.281 0.084 Mg
0.719 0.719 0.916 Mg
0.111 0.111 0.236 Si
0.142 0.142 0.930 Si
0.240 0.240 0.253 Si
0.331 0.331 0.421 Si
0.454 0.454 0.416 Si
0.546 0.546 0.584 Si
0.669 0.669 0.579 Si
0.760 0.760 0.747 Si
0.858 0.858 0.070 Si
0.889 0.889 0.764 Si
```

Formation energy from raw total energies (eV per atom): -0.48